(1)
Ca2InMo (GGA-PBE, optimized geometry); space-group type = P4/mmm (123)
1.0
4.666 0.000 0.000
0.000 4.666 0.000
0.000 0.000 4.692
Ca In Mo
2 1 1
direct
0.000 0.500 0.000
0.500 0.000 0.000
0.000 0.000 0.500
0.500 0.500 0.500



(2)
CaIn2Mo (GGA-PBE, optimized geometry); space-group type = R-3m (166); relative energy among the computed polymorphs = 178 meV per atom
1.0
1.660 0.958 9.739
-1.660 0.958 9.739
0.000 -1.916 9.739
Ca In Mo
1 2 1
direct
0.000 0.000 0.000
0.242 0.242 0.242
0.758 0.758 0.758
0.500 0.500 0.500



(3)
CaIn2Mo (GGA-PBE, optimized geometry); space-group type = Pm (6); relative energy among the computed polymorphs = 183 meV per atom
1.0
3.067 0.000 0.000
0.000 5.169 0.000
-0.178 0.000 5.490
Ca In Mo
1 2 1
direct
0.000 0.000 0.000
0.508 0.000 0.513
0.532 0.500 0.201
0.111 0.500 0.702



| no. | formation energy (eV per atom) | total magnetization (μB/cell) |
| --- | --- | --- |
| 1 | 0.422 | 2.661 |
| 2 | 0.281 | 0.793 |
| 3 | 0.285 | 0.004 |